This record from Alexandria via LeMat-Bulk describes a geometry-optimized Ba2CaTl structure. The functional is PBE.

```
4
Lattice="9.850 0.005 0.011 -3.833 4.793 -0.004 2.184 1.753 3.708" Properties=species:S:1:pos:R:3 pbc="T T T"
Tl 3.008 2.399 0.003
Ca -0.825 3.273 1.852
Ba 0.000 0.000 0.000
Ba 6.017 0.879 1.859
```

Magnetic moment in μB/atom: 0.000
Excess energy over the best structure of this formula in the dataset in meV per atom: 48
Formation energy from the elements in meV per atom: -167
Symmetry: No. 65